(1)
Material: MgSc5Pb
Method: DFT, PBE-GGA
State: optimized geometry

Properties
DFT formation energy = 0.01 eV per atom
density of states at the Fermi level = 1.511 states/eV per atom

Unit cell a=5.7997 b=5.7997 c=10.8170 alpha=100.99 beta=100.99 gamma=94.87
Atoms (fractional coordinates):
Mg1 0.0000 0.0000 0.0000
Mg2 0.0000 0.0000 0.5000
Sc1 0.9990 0.5926 0.1571
Sc2 0.2413 0.5283 0.4691
Sc3 0.5926 0.9990 0.6571
Sc4 0.8671 0.1329 0.2500
Sc5 0.4717 0.7587 0.0309
Sc6 0.5283 0.2413 0.9691
Sc7 0.1329 0.8671 0.7500
Sc8 0.4074 0.0010 0.3429
Sc9 0.7587 0.4717 0.5309
Sc10 0.0010 0.4074 0.8429
Pb1 0.5132 0.4868 0.2500
Pb2 0.4868 0.5132 0.7500

---

(2)
Material: MgZn2Ir2
Method: DFT, PBE-GGA
State: optimized geometry

Properties
DFT formation energy = 0.01 eV per atom
density of states at the Fermi level = 0.223 states/eV per atom

Unit cell a=3.7572 b=3.7572 c=6.5227 alpha=73.26 beta=73.26 gamma=90.00
Atoms (fractional coordinates):
Zn1 0.7500 0.2500 0.5000
Zn2 0.2500 0.7500 0.5000
Ir1 0.3950 0.3950 0.2100
Ir2 0.6050 0.6050 0.7900
Mg1 0.0000 0.0000 0.0000

---

(3)
Material: Ac7Nd2Er2
Method: DFT, PBE-GGA
State: optimized geometry

Properties
DFT formation energy = 0.15 eV per atom
density of states at the Fermi level = 1.669 states/eV per atom

Unit cell a=6.1570 b=12.0824 c=9.2811 alpha=69.92 beta=132.55 gamma=91.93
Atoms (fractional coordinates):
Ac1 0.4828 0.2228 0.9963
Ac2 0.1781 0.5830 0.6696
Ac3 0.5172 0.7772 0.0037
Ac4 0.8219 0.4170 0.3304
Ac5 0.3276 0.1977 0.3472
Ac6 0.0000 0.0000 0.0000
Ac7 0.6724 0.8023 0.6528
Nd1 0.7277 0.3691 0.7320
Nd2 0.2723 0.6309 0.2680
Er1 0.1085 0.0850 0.6317
Er2 0.8915 0.9150 0.3683